1.
Entry from Alexandria: a geometry-optimized Ti4VPd structure (PBE-GGA).

## Properties
energy relative to the elements: -0.180 eV/atom
E: -7.829 eV per atom

a = 3.2148 Å, b = 6.8206 Å, c = 9.9034 Å
α = 150.16°, β = 90.00°, γ = 103.63°
Atoms (fractional coordinates):
Ti (0.3382, 0.6764, 0.9982)
Ti (0.1745, 0.3490, 0.5121)
Ti (0.6618, 0.3236, 0.0018)
Ti (0.8255, 0.6510, 0.4879)
V (0.0000, 0.0000, 0.0000)
Pd (0.5000, 0.0000, 0.5000)

2.
Entry from Alexandria: a geometry-optimized PC structure (PBE-GGA).

## Properties
energy relative to the elements: 0.485 eV/atom
E: -6.832 eV per atom
energy above the most stable polymorph in this dataset: 0.1721 eV per atom

a = 4.4843 Å, b = 8.3395 Å, c = 8.3390 Å
α = 159.91°, β = 150.25°, γ = 40.97°
Atoms (fractional coordinates):
P (0.5228, 0.4529, 0.0698)
P (0.5549, 0.7970, 0.7578)
C (0.5047, 0.8896, 0.6153)
C (0.9175, 0.3605, 0.5571)

3.
Entry from Alexandria: a geometry-optimized NpInGa structure (PBE-GGA).

## Properties
energy relative to the elements: 0.059 eV/atom
E: -6.176 eV per atom
energy above the most stable polymorph in this dataset: 0.0801 eV per atom

a = 3.5166 Å, b = 4.6119 Å, c = 9.3334 Å
α = 90.00°, β = 90.00°, γ = 90.00°
Atoms (fractional coordinates):
Np (0.3623, 0.5000, 0.0852)
Np (0.8623, 0.5000, 0.9148)
Ga (0.8622, 0.0000, 0.1480)
Ga (0.3622, 0.0000, 0.8520)
In (0.8624, 0.5000, 0.3711)
In (0.3624, 0.5000, 0.6289)

4.
Entry from Alexandria: a geometry-optimized Cs2Mg2Te2Se structure (PBE-GGA).

## Properties
E: -3.213 eV per atom
formation energy (no corrections): -1118 meV/atom

a = 4.6665 Å, b = 7.8112 Å, c = 8.6544 Å
α = 68.21°, β = 74.36°, γ = 72.62°
Atoms (fractional coordinates):
Cs (0.5620, 0.2063, 0.6697)
Cs (0.4380, 0.7937, 0.3303)
Mg (0.1862, 0.6897, 0.9378)
Mg (0.8138, 0.3103, 0.0622)
Te (0.1950, 0.3690, 0.2411)
Te (0.8050, 0.6310, 0.7589)
Se (0.0000, 0.0000, 0.0000)

> Which of these has the highest E?

Cs2Mg2Te2Se

> Look up the E of the fourth one.

-3.213 eV per atom

> Which formula does entry 3 have?

NpInGa